(1)
12
Lattice="9.542 0.000 0.000 0.000 9.542 0.000 0.000 0.000 5.602" Properties=species:S:1:pos:R:3 comment="HoSnBr PBE relaxed" space_group="P4_2/mmc (131)" e_tot_ev_per_atom=-4.2851 pbc="T T T"
Ho 0.000 2.787 0.000
Ho 0.000 6.755 0.000
Ho 2.787 0.000 2.801
Ho 6.755 0.000 2.801
Sn 0.000 1.474 2.801
Sn 0.000 8.068 2.801
Sn 1.474 0.000 0.000
Sn 8.068 0.000 0.000
Br 1.966 4.771 0.000
Br 4.771 1.966 2.801
Br 4.771 7.576 2.801
Br 7.576 4.771 0.000

***

(2)
6
Lattice="4.714 -1.676 0.000 4.714 1.676 0.000 -1.546 0.000 5.951" Properties=species:S:1:pos:R:3 comment="ScBeW PBE relaxed" space_group="C2/m (12)" formation_enthalpy_0k_mev_per_atom=120 pbc="T T T"
Sc 1.272 0.000 0.491
Sc 6.609 0.000 5.461
Be 3.586 0.000 4.058
Be 4.295 0.000 1.893
W 0.678 0.000 3.449
W 7.202 0.000 2.502

***

(3)
4
Lattice="2.264 1.307 5.362 -2.264 1.307 5.362 0.000 -2.615 5.362" Properties=species:S:1:pos:R:3 comment="PrAl2Cd PBE relaxed" space_group="R-3m (166)" formation_enthalpy_0k_mev_per_atom=-238 pbc="T T T"
Pr 0.000 0.000 0.000
Al 0.000 0.000 3.480
Al 0.000 0.000 12.607
Cd 0.000 0.000 8.043

***

(4)
44
Lattice="6.484 0.000 0.000 2.599 8.015 0.000 0.084 0.045 10.120" Properties=species:S:1:pos:R:3 comment="Zn3B2O6 PBE relaxed" space_group="P-1 (2)" e_tot_ev_per_atom=-6.1604 pbc="T T T"
Zn 0.924 2.352 4.229
Zn 0.878 0.557 1.594
Zn 1.786 0.873 6.853
Zn 2.685 3.237 0.785
Zn 4.734 5.758 1.815
Zn 5.010 5.802 6.686
Zn 4.157 2.258 3.434
Zn 4.434 2.302 8.305
Zn 6.483 4.823 9.335
Zn 7.381 7.187 3.267
Zn 8.290 7.503 8.525
Zn 8.243 5.707 5.891
B 2.553 4.638 3.295
B 2.752 4.735 8.334
B 4.575 7.230 9.273
B 4.659 7.510 4.173
B 4.508 0.550 5.947
B 4.593 0.830 0.847
B 6.415 3.325 1.786
B 6.615 3.422 6.825
O 0.881 2.502 1.193
O 2.025 5.732 3.955
O 1.161 0.072 8.532
O 1.381 0.527 3.543
O 3.026 4.778 2.001
O 2.625 3.403 3.927
O 3.199 4.987 7.043
O 3.199 3.634 9.038
O 4.456 7.246 0.535
O 4.579 7.360 5.551
O 3.732 1.439 6.696
O 3.801 1.754 1.498
O 5.367 6.306 8.622
O 5.435 6.621 3.424
O 4.588 0.700 4.569
O 4.712 0.813 9.585
O 5.968 4.425 1.082
O 5.969 3.072 3.077
O 6.543 4.657 6.193
O 6.141 3.282 8.119
O 7.786 7.533 6.577
O 8.006 7.988 1.588
O 7.142 2.328 6.165
O 8.286 5.558 8.927

***

(5)
4
Lattice="0.000 3.074 3.074 3.074 0.000 3.074 3.074 3.074 0.000" Properties=species:S:1:pos:R:3 comment="MnRe3 PBE relaxed" space_group="Fm-3m (225)" formation_enthalpy_0k_mev_per_atom=140 pbc="T T T"
Mn 0.000 0.000 0.000
Re 1.537 1.537 1.537
Re 3.074 3.074 3.074
Re 4.611 4.611 4.611

***

(6)
12
Lattice="-3.115 6.835 3.096 3.115 -6.835 3.096 3.115 6.835 -3.096" Properties=species:S:1:pos:R:3 comment="LiCa2Ga2Ir PBE relaxed" space_group="Ibam (72)" formation_enthalpy_0k_mev_per_atom=-465 pbc="T T T"
Li 0.000 0.000 1.548
Li 0.000 0.000 4.644
Ca 4.665 2.208 0.000
Ca 1.550 4.627 0.000
Ca 1.564 2.208 3.096
Ca -1.550 4.627 3.096
Ga 1.637 1.342 0.000
Ga 1.637 -1.342 3.096
Ga 1.477 8.176 0.000
Ga 1.477 5.493 3.096
Ir 3.115 0.000 1.548
Ir 0.000 6.835 1.548

***

(7)
3
Lattice="-2.107 2.107 5.582 2.107 -2.107 5.582 2.107 2.107 -5.582" Properties=species:S:1:pos:R:3 comment="AcCeSb PBE relaxed" space_group="I4mm (107)" e_tot_ev_per_atom=-5.2770 pbc="T T T"
Ac 0.000 0.000 0.000
Ce 0.000 0.000 7.896
Sb 0.000 0.000 3.715